1.
# Pa2PbI8

An optimized crystal structure of Pa2PbI8 (PBE, Alexandria via LeMat-Bulk).

space-group type: P-3, No. 147
N(E_F): 19.872 states/eV/cell
raw formation energy: -0.585 eV/atom
E_tot: -3.776 eV/atom
relative energy among the computed polymorphs: 0.1260 eV/atom

```
Pa2PbI8
1.0
10.251 0.000 0.000
-5.125 8.877 0.000
0.000 0.000 6.284
Pa Pb I
2 1 8
Direct
0.333 0.667 0.271
0.667 0.333 0.729
0.000 0.000 0.500
0.163 0.329 0.243
0.166 0.837 0.243
0.329 0.166 0.757
0.333 0.667 0.766
0.667 0.333 0.234
0.671 0.834 0.243
0.834 0.163 0.757
0.837 0.671 0.757
```

=====

2.
# Pa2PbI8

An optimized crystal structure of Pa2PbI8 (PBE, Alexandria via LeMat-Bulk).

space-group type: C2/m, No. 12
N(E_F): 5.758 states/eV/cell
raw formation energy: -0.711 eV/atom
E_tot: -3.902 eV/atom
relative energy among the computed polymorphs: 0.0000 eV/atom

```
Pa2PbI8
1.0
5.141 -6.740 0.000
5.141 6.740 0.000
-0.630 0.000 9.650
Pa Pb I
2 1 8
Direct
0.117 0.117 0.309
0.883 0.883 0.691
0.000 0.000 0.000
0.124 0.711 0.783
0.179 0.179 0.624
0.289 0.876 0.217
0.395 0.395 0.267
0.605 0.605 0.733
0.711 0.124 0.783
0.821 0.821 0.376
0.876 0.289 0.217
```

=====

3.
# Pa2PdI8

An optimized crystal structure of Pa2PdI8 (PBE, Alexandria via LeMat-Bulk).

space-group type: C2/m, No. 12
N(E_F): 7.745 states/eV/cell
raw formation energy: -0.672 eV/atom
E_tot: -3.998 eV/atom

```
Pa2PdI8
1.0
6.447 -6.052 0.000
6.447 6.052 0.000
-0.437 0.000 7.384
Pa Pd I
2 1 8
Direct
0.115 0.115 0.183
0.885 0.885 0.817
0.000 0.000 0.500
0.135 0.662 0.744
0.144 0.144 0.775
0.338 0.865 0.256
0.339 0.339 0.260
0.661 0.661 0.740
0.662 0.135 0.744
0.856 0.856 0.225
0.865 0.338 0.256
```

=====

4.
# PaPdI6

An optimized crystal structure of PaPdI6 (PBE, Alexandria via LeMat-Bulk).

space-group type: C2/m, No. 12
N(E_F): 1.695 states/eV/cell
raw formation energy: -0.701 eV/atom
E_tot: -3.700 eV/atom

```
PaPdI6
1.0
4.221 -6.528 0.000
4.221 6.528 0.000
-3.498 0.000 6.967
Pa Pd I
1 1 6
Direct
0.000 0.000 0.000
0.000 0.000 0.500
0.156 0.835 0.267
0.165 0.844 0.733
0.387 0.387 0.194
0.613 0.613 0.806
0.835 0.156 0.267
0.844 0.165 0.733
```

=====

5.
# PaPd2I

An optimized crystal structure of PaPd2I (PBE, Alexandria via LeMat-Bulk).

space-group type: R-3m, No. 166
N(E_F): 2.352 states/eV/cell
raw formation energy: -0.199 eV/atom
E_tot: -5.557 eV/atom

```
PaPd2I
1.0
1.934 1.117 8.715
-1.934 1.117 8.715
0.000 -2.233 8.715
Pa Pd I
1 2 1
Direct
0.000 0.000 0.000
0.397 0.397 0.397
0.603 0.603 0.603
0.500 0.500 0.500
```

=====

6.
# PaPd2I8

An optimized crystal structure of PaPd2I8 (PBE, Alexandria via LeMat-Bulk).

space-group type: C2/m, No. 12
N(E_F): 7.273 states/eV/cell
raw formation energy: -0.462 eV/atom
E_tot: -3.397 eV/atom

```
PaPd2I8
1.0
4.723 -6.458 0.000
4.723 6.458 0.000
-1.762 0.000 7.430
Pa Pd I
1 2 8
Direct
0.000 0.000 0.000
0.103 0.103 0.403
0.897 0.897 0.597
0.137 0.750 0.747
0.240 0.240 0.765
0.250 0.863 0.253
0.330 0.330 0.241
0.670 0.670 0.759
0.750 0.137 0.747
0.760 0.760 0.235
0.863 0.250 0.253
```

=====

7.
# PaPdI2

An optimized crystal structure of PaPdI2 (PBE, Alexandria via LeMat-Bulk).

space-group type: R-3m, No. 166
N(E_F): 6.362 states/eV/cell
raw formation energy: 0.231 eV/atom
E_tot: -4.216 eV/atom

```
PaPdI2
1.0
1.944 1.122 9.474
-1.944 1.122 9.474
0.000 -2.244 9.474
Pa Pd I
1 1 2
Direct
0.000 0.000 0.000
0.500 0.500 0.500
0.104 0.104 0.104
0.896 0.896 0.896
```

=====

8.
# PmPa2I8

An optimized crystal structure of PmPa2I8 (PBE, Alexandria via LeMat-Bulk).

space-group type: C2/m, No. 12
N(E_F): 11.731 states/eV/cell
raw formation energy: -0.805 eV/atom
E_tot: -4.091 eV/atom

```
PmPa2I8
1.0
7.668 -6.137 0.000
7.668 6.137 0.000
-0.086 0.000 6.371
Pm Pa I
1 2 8
Direct
0.000 0.000 0.000
0.195 0.195 0.276
0.805 0.805 0.724
0.117 0.711 0.751
0.187 0.187 0.771
0.289 0.883 0.249
0.387 0.387 0.254
0.613 0.613 0.746
0.711 0.117 0.751
0.813 0.813 0.229
0.883 0.289 0.249
```

=====

9.
# PmPaI

An optimized crystal structure of PmPaI (PBE, Alexandria via LeMat-Bulk).

space-group type: P-1, No. 2
N(E_F): 9.015 states/eV/cell
raw formation energy: -0.472 eV/atom
E_tot: -5.737 eV/atom

```
PmPaI
1.0
3.800 0.000 0.000
0.002 3.921 0.000
1.523 0.234 13.767
Pm Pa I
2 2 2
Direct
0.161 0.238 0.218
0.839 0.762 0.782
0.219 0.254 0.952
0.781 0.746 0.048
0.396 0.270 0.652
0.604 0.730 0.348
```

=====

10.
# PmPaI2

An optimized crystal structure of PmPaI2 (PBE, Alexandria via LeMat-Bulk).

space-group type: R-3m, No. 166
N(E_F): 6.259 states/eV/cell
raw formation energy: -0.333 eV/atom
E_tot: -4.669 eV/atom

```
PmPaI2
1.0
1.873 1.081 10.995
-1.873 1.081 10.995
0.000 -2.163 10.995
Pm Pa I
1 1 2
Direct
0.000 0.000 0.000
0.500 0.500 0.500
0.404 0.404 0.404
0.596 0.596 0.596
```

=====

11.
# PrPaI

An optimized crystal structure of PrPaI (PBE, Alexandria via LeMat-Bulk).

space-group type: Pm, No. 6
N(E_F): 9.336 states/eV/cell
raw formation energy: -0.045 eV/atom
E_tot: -5.321 eV/atom

```
PrPaI
1.0
3.671 0.000 0.000
0.000 4.922 0.000
-1.820 0.000 10.006
Pr Pa I
2 2 2
Direct
0.000 0.000 0.000
0.385 0.500 0.769
0.659 0.000 0.323
0.798 0.000 0.591
0.223 0.500 0.447
0.550 0.500 0.102
```

=====

12.
# PrPaI6

An optimized crystal structure of PrPaI6 (PBE, Alexandria via LeMat-Bulk).

space-group type: C2/m, No. 12
N(E_F): 4.387 states/eV/cell
raw formation energy: -1.087 eV/atom
E_tot: -4.034 eV/atom

```
PrPaI6
1.0
3.818 -7.417 0.000
3.818 7.417 0.000
-2.693 0.000 7.133
Pr Pa I
1 1 6
Direct
0.000 0.000 0.000
0.500 0.500 0.500
0.105 0.409 0.254
0.253 0.253 0.743
0.409 0.105 0.254
0.591 0.895 0.746
0.747 0.747 0.257
0.895 0.591 0.746
```

=====

Among the records above, which one has the lowest raw formation energy? PrPaI6